Material: MnNbO2
Method: DFT, PBE+U
State: optimized geometry

## Properties
Polymorph energy (0 for the lowest one) (kJ/mol of atoms): 24.46
E_tot (eV/atom): -8.13
Volume (Å³ per cell): 227.0

Geometry as CIF:
```
data_MnNbO2
_cell_length_a 4.963
_cell_length_b 4.963
_cell_length_c 9.216
_cell_angle_alpha 90.00
_cell_angle_beta 90.00
_cell_angle_gamma 90.00
_space_group_name_H-M_alt 'I -4 2 d'
_space_group_IT_number 122
_space_group_name_Hall 'I -4 2bw'
loop_
_atom_site_label
_atom_site_fract_x
_atom_site_fract_y
_atom_site_fract_z
Mn1 0.000 0.000 0.000
Nb1 0.000 0.000 0.500
O1 0.244 0.250 0.125
```